Model 1:
The following is a PBE calculation of a relaxed YPb2Cl crystal, from the Alexandria database.

Cell lengths 6.584, 6.584, 3.736 Å; angles 103.65, 103.65, 124.67 degrees
Sites, in units of the cell vectors:
Y 0.000 0.000 0.000
Pb 0.000 0.500 0.500
Pb 0.500 0.000 0.500
Cl 0.500 0.500 0.000


Model 2:
The following is a PBE calculation of a relaxed YPb2Cl crystal, from the Alexandria database.

Cell lengths 3.611, 3.611, 9.235 Å; angles 90.00, 90.00, 90.00 degrees
Sites, in units of the cell vectors:
Y 0.000 0.000 0.000
Pb 0.000 0.000 0.538
Pb 0.500 0.500 0.765
Cl 0.500 0.500 0.157


Model 3:
The following is a PBE calculation of a relaxed YPb2Cl crystal, from the Alexandria database.

Cell lengths 5.424, 5.424, 5.424 Å; angles 60.00, 60.00, 60.00 degrees
Sites, in units of the cell vectors:
Y 0.000 0.000 0.000
Pb 0.500 0.500 0.500
Pb 0.750 0.750 0.750
Cl 0.250 0.250 0.250


Model 4:
The following is a PBE calculation of a relaxed YPb2Cl crystal, from the Alexandria database.

Cell lengths 3.573, 3.573, 10.047 Å; angles 90.00, 90.00, 114.22 degrees
Sites, in units of the cell vectors:
Y 0.000 0.000 0.000
Pb 0.500 0.500 0.265
Pb 0.500 0.500 0.735
Cl 0.000 0.000 0.500


Most stable to least stable, the ends of the list are model 2 and model 4.


Model 1:
The following is a PBE calculation of a relaxed YPb2Cl crystal, from the Alexandria database.

Cell lengths 3.712, 5.941, 5.461 Å; angles 90.00, 91.84, 90.00 degrees
Sites, in units of the cell vectors:
Y 0.000 0.000 0.000
Pb 0.288 0.500 0.236
Pb 0.712 0.500 0.764
Cl 0.000 0.000 0.500


Model 2:
The following is a PBE calculation of a relaxed YPb2Cl crystal, from the Alexandria database.

Cell lengths 7.854, 7.854, 7.854 Å; angles 96.27, 96.27, 141.42 degrees
Sites, in units of the cell vectors:
Y 0.000 0.000 0.000
Y 0.750 0.250 0.500
Pb 0.048 0.625 0.923
Pb 0.375 0.298 0.423
Pb 0.702 0.125 0.077
Pb 0.875 0.952 0.577
Cl 0.250 0.750 0.500
Cl 0.500 0.500 0.000


Most stable to least stable, the ends of the list are model 1 and model 2.


Model 1:
The following is a PBE calculation of a relaxed YPb2Cl crystal, from the Alexandria database.

Cell lengths 5.717, 5.717, 3.494 Å; angles 90.00, 90.00, 103.47 degrees
Sites, in units of the cell vectors:
Y 0.000 0.000 0.000
Pb 0.000 0.500 0.500
Pb 0.500 0.000 0.500
Cl 0.500 0.500 0.000


Model 2:
The following is a PBE calculation of a relaxed YPb2Cl crystal, from the Alexandria database.

Cell lengths 10.270, 10.270, 10.270 Å; angles 20.48, 20.48, 20.48 degrees
Sites, in units of the cell vectors:
Y 0.000 0.000 0.000
Pb 0.245 0.245 0.245
Pb 0.755 0.755 0.755
Cl 0.500 0.500 0.500


Model 3:
The following is a PBE calculation of a relaxed YPb2Cl crystal, from the Alexandria database.

Cell lengths 4.445, 4.445, 5.927 Å; angles 90.00, 90.00, 90.00 degrees
Sites, in units of the cell vectors:
Y 0.000 0.000 0.000
Pb 0.500 0.500 0.242
Pb 0.500 0.500 0.758
Cl 0.000 0.000 0.500


Model 4:
The following is a PBE calculation of a relaxed YPb2Cl crystal, from the Alexandria database.

Cell lengths 3.676, 3.676, 8.583 Å; angles 90.00, 90.00, 90.00 degrees
Sites, in units of the cell vectors:
Y 0.000 0.000 0.000
Pb 0.500 0.500 0.248
Pb 0.500 0.500 0.752
Cl 0.000 0.000 0.500


Most stable to least stable, the ends of the list are model 1 and model 2.


Model 1:
The following is a PBE calculation of a relaxed YPb2Cl crystal, from the Alexandria database.

Cell lengths 3.587, 3.587, 10.653 Å; angles 90.00, 90.00, 115.01 degrees
Sites, in units of the cell vectors:
Y 0.000 0.000 0.000
Pb 0.000 0.000 0.517
Pb 0.500 0.500 0.760
Cl 0.500 0.500 0.179


Model 2:
The following is a PBE calculation of a relaxed YPb2Cl crystal, from the Alexandria database.

Cell lengths 5.340, 3.554, 5.842 Å; angles 90.00, 90.14, 90.00 degrees
Sites, in units of the cell vectors:
Y 0.000 0.000 0.000
Pb 0.000 0.500 0.500
Pb 0.500 0.000 0.500
Cl 0.500 0.500 0.000


Most stable to least stable, the ends of the list are model 1 and model 2.


Model 1:
The following is a PBE calculation of a relaxed YPb3Cl crystal, from the Alexandria database.

Cell lengths 5.484, 5.484, 5.484 Å; angles 90.00, 90.00, 90.00 degrees
Sites, in units of the cell vectors:
Y 0.000 0.000 0.000
Pb 0.000 0.500 0.500
Pb 0.500 0.000 0.500
Pb 0.500 0.500 0.000
Cl 0.500 0.500 0.500


Model 2:
The following is a PBE calculation of a relaxed YPb3Cl crystal, from the Alexandria database.

Cell lengths 6.012, 6.012, 6.012 Å; angles 90.00, 90.00, 90.00 degrees
Sites, in units of the cell vectors:
Y 0.000 0.000 0.000
Pb 0.000 0.000 0.500
Pb 0.000 0.500 0.000
Pb 0.500 0.000 0.000
Cl 0.500 0.500 0.500


Most stable to least stable, the ends of the list are model 1 and model 2.


Model 1:
The following is a PBE calculation of a relaxed YPbCl crystal, from the Alexandria database.

Cell lengths 3.637, 6.415, 8.226 Å; angles 73.65, 77.23, 89.93 degrees
Sites, in units of the cell vectors:
Y 0.141 0.083 0.217
Y 0.859 0.917 0.783
Pb 0.493 0.740 0.517
Pb 0.507 0.260 0.483
Cl 0.228 0.752 0.046
Cl 0.772 0.248 0.954


Model 2:
The following is a PBE calculation of a relaxed YPbCl crystal, from the Alexandria database.

Cell lengths 7.018, 7.018, 7.018 Å; angles 150.75, 150.75, 41.84 degrees
Sites, in units of the cell vectors:
Y 0.000 0.000 0.000
Pb 0.686 0.686 0.000
Cl 0.405 0.405 0.000


Model 3:
The following is a PBE calculation of a relaxed YPbCl crystal, from the Alexandria database.

Cell lengths 5.270, 5.270, 5.270 Å; angles 60.00, 60.00, 60.00 degrees
Sites, in units of the cell vectors:
Y 0.000 0.000 0.000
Pb 0.250 0.250 0.250
Cl 0.500 0.500 0.500


Most stable to least stable, the ends of the list are model 1 and model 3.